VASP calculation (PBE-GGA) on crystalline SmYSc6 at its relaxed geometry.

Properties
E_tot, eV per atom: -6.12
Symmetry: No. 187
Formation enthalpy at 0 K, eV/atom: 0.03
Density of states at the Fermi level, states/eV per atom: 1.886

Cell lengths 6.8085, 6.8085, 5.3201 Å; angles 90.00, 90.00, 120.00 degrees
Last column: nearest neighbours and their distance in Å.
Fractional coordinates of all 8 atoms:
Sm1 0.0000 0.0000 0.0000  12 Sc 3.34-3.40
Y1 0.6667 0.3333 0.5000  12 Sc 3.34-3.40
Sc1 0.0092 0.5046 0.0000  8 Sc 3.28-3.50, 2 Y 3.34, 2 Sm 3.40
Sc2 0.1713 0.3426 0.5000  8 Sc 3.28-3.50, 2 Sm 3.34, 2 Y 3.40
Sc3 0.1713 0.8287 0.5000  8 Sc 3.28-3.50, 2 Sm 3.34, 2 Y 3.40
Sc4 0.4954 0.5046 0.0000  8 Sc 3.28-3.50, 2 Y 3.34, 2 Sm 3.40
Sc5 0.4954 0.9908 0.0000  8 Sc 3.28-3.50, 2 Y 3.34, 2 Sm 3.40
Sc6 0.6574 0.8287 0.5000  8 Sc 3.28-3.50, 2 Sm 3.34, 2 Y 3.40